Record 1
Here is crystalline Ho2NiRu at its relaxed geometry from Alexandria. Energies are from GGA-PBE.

Output
Total DFT energy (no corrections)   -0.4758 Ry/atom
Crystal system   cubic
Space group   Fm-3m, No. 225
M_tot   0.0 μB per cell
Energy of formation from the pure elements   -420 meV per atom
N(E_F)   1.996 states/eV/cell
Volume   76.8 Å³/cell

Cell lengths 4.7721, 4.7721, 4.7721 Å; angles 60.00, 60.00, 60.00 degrees
Atoms (fractional coordinates):
Ho 0.2500 0.2500 0.2500
Ho 0.7500 0.7500 0.7500
Ni 0.0000 0.0000 0.0000
Ru 0.5000 0.5000 0.5000

=====

Record 2
Here is crystalline RePAu3 at its relaxed geometry from Alexandria. Energies are from GGA-PBE.

Output
Total DFT energy (no corrections)   -0.3196 Ry/atom
Crystal system   cubic
Space group   Pm-3m, No. 221
M_tot   3.4 μB per cell
Energy of formation from the pure elements   1189 meV per atom
N(E_F)   3.197 states/eV/cell
Volume   101.3 Å³/cell

Cell lengths 4.6622, 4.6622, 4.6622 Å; angles 90.00, 90.00, 90.00 degrees
Atoms (fractional coordinates):
Re 0.0000 0.0000 0.0000
P 0.5000 0.5000 0.5000
Au 0.0000 0.5000 0.5000
Au 0.5000 0.0000 0.5000
Au 0.5000 0.5000 0.0000